1.
The following is a DFT calculation (GGA-PBE) of crystalline NbCdCuSi at its relaxed geometry.

Its calculated volume is 64 Å³/cell. The polymorph energy (0 for the lowest one) comes out at 0 meV per atom. The space group is F-43m.

a = 4.499 Å, b = 4.499 Å, c = 4.499 Å
α = 60.00°, β = 60.00°, γ = 60.00°
Fractional positions:
Nb 0.000 0.000 0.000
Cd 0.750 0.750 0.750
Cu 0.500 0.500 0.500
Si 0.250 0.250 0.250

=====

2.
The following is a DFT calculation (GGA-PBE) of crystalline NbCdCuSn at its relaxed geometry.

Its calculated volume is 75 Å³/cell. The polymorph energy (0 for the lowest one) comes out at 0 meV per atom. The space group is F-43m.

a = 4.735 Å, b = 4.735 Å, c = 4.735 Å
α = 60.00°, β = 60.00°, γ = 60.00°
Fractional positions:
Nb 0.000 0.000 0.000
Cd 0.750 0.750 0.750
Cu 0.500 0.500 0.500
Sn 0.250 0.250 0.250

=====

3.
The following is a DFT calculation (GGA-PBE) of crystalline NbTlCdCu at its relaxed geometry.

Its calculated volume is 76 Å³/cell. The polymorph energy (0 for the lowest one) comes out at 77 meV per atom. The space group is F-43m.

a = 4.751 Å, b = 4.751 Å, c = 4.751 Å
α = 60.00°, β = 60.00°, γ = 60.00°
Fractional positions:
Nb 0.000 0.000 0.000
Tl 0.500 0.500 0.500
Cd 0.250 0.250 0.250
Cu 0.750 0.750 0.750

=====

4.
The following is a DFT calculation (GGA-PBE) of crystalline NbTlCdCu at its relaxed geometry.

Its calculated volume is 76 Å³/cell. The polymorph energy (0 for the lowest one) comes out at 0 meV per atom. The space group is F-43m.

a = 4.758 Å, b = 4.758 Å, c = 4.758 Å
α = 60.00°, β = 60.00°, γ = 60.00°
Fractional positions:
Nb 0.000 0.000 0.000
Tl 0.250 0.250 0.250
Cd 0.750 0.750 0.750
Cu 0.500 0.500 0.500

=====

5.
The following is a DFT calculation (GGA-PBE) of crystalline NdCdCu at its relaxed geometry.

Its calculated volume is 74 Å³/cell. The calculation puts the formation energy at -144 meV/atom. The space group is F-43m.

a = 4.720 Å, b = 4.720 Å, c = 4.720 Å
α = 60.00°, β = 60.00°, γ = 60.00°
Fractional positions:
Nd 0.000 0.000 0.000
Cd 0.500 0.500 0.500
Cu 0.750 0.750 0.750

=====

6.
The following is a DFT calculation (GGA-PBE) of crystalline NdYCd2Cu4 at its relaxed geometry.

Its calculated volume is 151 Å³/cell. The calculation puts the formation energy at -189 meV/atom. The space group is P4/mmm.

a = 4.744 Å, b = 4.744 Å, c = 6.699 Å
α = 90.00°, β = 90.00°, γ = 90.00°
Fractional positions:
Nd 0.000 0.000 0.000
Y 0.500 0.500 0.500
Cd 0.000 0.000 0.500
Cd 0.500 0.500 0.000
Cu 0.000 0.500 0.259
Cu 0.000 0.500 0.741
Cu 0.500 0.000 0.259
Cu 0.500 0.000 0.741

=====

7.
The following is a DFT calculation (GGA-PBE) of crystalline CdCuNiSb at its relaxed geometry.

Its calculated volume is 67 Å³/cell. The polymorph energy (0 for the lowest one) comes out at 0 meV per atom. The space group is F-43m.

a = 4.555 Å, b = 4.555 Å, c = 4.555 Å
α = 60.00°, β = 60.00°, γ = 60.00°
Fractional positions:
Cd 0.000 0.000 0.000
Cu 0.750 0.750 0.750
Ni 0.250 0.250 0.250
Sb 0.500 0.500 0.500

=====

8.
The following is a DFT calculation (GGA-PBE) of crystalline CdCuNiSe3 at its relaxed geometry.

Its calculated volume is 252 Å³/cell. Its final energy is -3.592 eV per atom. The space group is P2_1/m.

a = 6.783 Å, b = 3.869 Å, c = 9.713 Å
α = 90.00°, β = 98.74°, γ = 90.00°
Fractional positions:
Cd 0.239 0.250 0.205
Cd 0.761 0.750 0.795
Cu 0.421 0.750 0.410
Cu 0.579 0.250 0.590
Ni 0.040 0.250 0.918
Ni 0.960 0.750 0.082
Se 0.046 0.750 0.333
Se 0.247 0.750 0.963
Se 0.387 0.750 0.655
Se 0.613 0.250 0.345
Se 0.753 0.250 0.037
Se 0.954 0.250 0.667

=====

9.
The following is a DFT calculation (GGA-PBE) of crystalline CdCuNiTe3 at its relaxed geometry.

Its calculated volume is 283 Å³/cell. Its final energy is -3.366 eV per atom. The space group is P2_1/m.

a = 7.352 Å, b = 3.904 Å, c = 10.151 Å
α = 90.00°, β = 103.73°, γ = 90.00°
Fractional positions:
Cd 0.219 0.250 0.204
Cd 0.781 0.750 0.796
Cu 0.409 0.750 0.411
Cu 0.591 0.250 0.589
Ni 0.037 0.250 0.923
Ni 0.963 0.750 0.077
Te 0.034 0.750 0.342
Te 0.265 0.750 0.973
Te 0.395 0.750 0.663
Te 0.605 0.250 0.337
Te 0.735 0.250 0.027
Te 0.966 0.250 0.658

=====

10.
The following is a DFT calculation (GGA-PBE) of crystalline CdCuOsPb at its relaxed geometry.

Its calculated volume is 72 Å³/cell. The polymorph energy (0 for the lowest one) comes out at 0 meV per atom. The space group is F-43m.

a = 4.662 Å, b = 4.662 Å, c = 4.662 Å
α = 60.00°, β = 60.00°, γ = 60.00°
Fractional positions:
Cd 0.000 0.000 0.000
Cu 0.750 0.750 0.750
Os 0.250 0.250 0.250
Pb 0.500 0.500 0.500

=====

11.
The following is a DFT calculation (GGA-PBE) of crystalline CdCuReOs at its relaxed geometry.

Its calculated volume is 60 Å³/cell. The calculation puts the formation energy at 541 meV/atom. The polymorph energy (0 for the lowest one) comes out at 0 meV per atom. The space group is F-43m.

a = 4.404 Å, b = 4.404 Å, c = 4.404 Å
α = 60.00°, β = 60.00°, γ = 60.00°
Fractional positions:
Cd 0.000 0.000 0.000
Cu 0.250 0.250 0.250
Re 0.500 0.500 0.500
Os 0.750 0.750 0.750

=====

12.
The following is a DFT calculation (GGA-PBE) of crystalline CdCuSbOs at its relaxed geometry.

Its calculated volume is 69 Å³/cell. The polymorph energy (0 for the lowest one) comes out at 0 meV per atom. The space group is F-43m.

a = 4.604 Å, b = 4.604 Å, c = 4.604 Å
α = 60.00°, β = 60.00°, γ = 60.00°
Fractional positions:
Cd 0.000 0.000 0.000
Cu 0.750 0.750 0.750
Sb 0.500 0.500 0.500
Os 0.250 0.250 0.250